A plane-wave DFT calculation with meta-GGA SCAN was carried out for a PBEsol-optimized structure of Y2MnCrCl.

The calculation puts the total magnetization at 1.01 μB/atom. The uncorrected formation energy comes out at 0.427 eV/atom.

The space group is P4/mmm (No. 123) and the conventional cell measures 5.2956, 5.2956 and 4.1710 Å, with angles of 90.00, 90.00 and 90.00 degrees. The asymmetric unit holds Y at (0.0000, 0.5000, 0.0000), Mn at (0.0000, 0.0000, 0.5000), Cr at (0.5000, 0.5000, 0.0000) and Cl at (0.5000, 0.5000, 0.5000).

A plane-wave DFT calculation with meta-GGA SCAN was carried out for a PBEsol-optimized structure of NiSN2O.

The calculation puts the total magnetization at 0.41 μB/atom. The uncorrected formation energy comes out at 1.432 eV/atom.

The space group is P4/mmm (No. 123) and the conventional cell measures 3.6789, 3.6789 and 3.6125 Å, with angles of 90.00, 90.00 and 90.00 degrees. The asymmetric unit holds Ni at (0.0000, 0.0000, 0.0000), S at (0.5000, 0.5000, 0.5000), N at (0.0000, 0.5000, 0.0000) and O at (0.0000, 0.0000, 0.5000).

- uncorrected formation energy of number 1 (Y2MnCrCl)?
  0.427 eV/atom

Copy entry 2 word for word.
A plane-wave DFT calculation with meta-GGA SCAN was carried out for a PBEsol-optimized structure of NiSN2O.

The calculation puts the total magnetization at 0.41 μB/atom. The uncorrected formation energy comes out at 1.432 eV/atom.

The space group is P4/mmm (No. 123) and the conventional cell measures 3.6789, 3.6789 and 3.6125 Å, with angles of 90.00, 90.00 and 90.00 degrees. The asymmetric unit holds Ni at (0.0000, 0.0000, 0.0000), S at (0.5000, 0.5000, 0.5000), N at (0.0000, 0.5000, 0.0000) and O at (0.0000, 0.0000, 0.5000).